1.
Entry from the Open Quantum Materials Database: a geometry-optimized DyHf2 structure (PBE).

Cell: 5.6274 5.6274 5.4993 Å, 90.00 90.00 90.00°
Atoms (fractional coordinates):
Dy: 0.0000 0.0000 0.0000
Dy: 0.5000 0.5000 0.5000
Hf: 0.1651 0.1651 0.5000
Hf: 0.3349 0.6651 0.0000
Hf: 0.6651 0.3349 0.0000
Hf: 0.8349 0.8349 0.5000

Computed properties:
E above lowest polymorph: 1.252 eV/atom

=====

2.
Entry from the Open Quantum Materials Database: a geometry-optimized DyHf2 structure (PBE).

Cell: 6.0505 6.0505 6.0505 Å, 60.00 60.00 60.00°
Atoms (fractional coordinates):
Dy: 0.1250 0.1250 0.1250
Dy: 0.8750 0.8750 0.8750
Hf: 0.0000 0.5000 0.5000
Hf: 0.5000 0.0000 0.5000
Hf: 0.5000 0.5000 0.0000
Hf: 0.5000 0.5000 0.5000

Computed properties:
E above lowest polymorph: 0.203 eV/atom

=====

3.
Entry from the Open Quantum Materials Database: a geometry-optimized DyHfHg structure (PBE).

Cell: 4.8963 4.8963 4.8963 Å, 60.00 60.00 60.00°
Atoms (fractional coordinates):
Dy: 0.0000 0.0000 0.0000
Hf: 0.5000 0.5000 0.5000
Hg: 0.2500 0.2500 0.2500

Computed properties:
E above lowest polymorph: 0.000 eV/atom

=====

4.
Entry from the Open Quantum Materials Database: a geometry-optimized DyHoHf structure (PBE).

Cell: 5.1641 5.1641 5.1641 Å, 60.00 60.00 60.00°
Atoms (fractional coordinates):
Dy: 0.0000 0.0000 0.0000
Ho: 0.5000 0.5000 0.5000
Hf: 0.2500 0.2500 0.2500

Computed properties:
E above lowest polymorph: 0.000 eV/atom

=====

5.
Entry from the Open Quantum Materials Database: a geometry-optimized Dy2HfIn structure (PBE).

Cell: 4.6647 4.6647 4.6915 Å, 90.00 90.00 90.00°
Atoms (fractional coordinates):
Dy: 0.0000 0.5000 0.0000
Dy: 0.5000 0.0000 0.0000
Hf: 0.0000 0.0000 0.5000
In: 0.5000 0.5000 0.5000

=====

6.
Entry from the Open Quantum Materials Database: a geometry-optimized KDy2Hf2 structure (PBE).

Cell: 9.2451 9.7118 3.3431 Å, 90.00 90.00 90.00°
Atoms (fractional coordinates):
K: 0.0000 0.0000 0.0000
K: 0.5000 0.5000 0.0000
Dy: 0.1786 0.3200 0.5000
Dy: 0.3214 0.8200 0.5000
Dy: 0.6786 0.1800 0.5000
Dy: 0.8214 0.6800 0.5000
Hf: 0.1111 0.6034 0.0000
Hf: 0.3889 0.1034 0.0000
Hf: 0.6111 0.8966 0.0000
Hf: 0.8889 0.3966 0.0000

=====

7.
Entry from the Open Quantum Materials Database: a geometry-optimized LiDyHf structure (PBE).

Cell: 4.9163 4.9163 4.9163 Å, 60.00 60.00 60.00°
Atoms (fractional coordinates):
Li: 0.0000 0.0000 0.0000
Dy: 0.5000 0.5000 0.5000
Hf: 0.7500 0.7500 0.7500

=====

8.
Entry from the Open Quantum Materials Database: a geometry-optimized DyHfMo structure (PBE).

Cell: 4.6676 4.6676 4.6676 Å, 60.00 60.00 60.00°
Atoms (fractional coordinates):
Dy: 0.0000 0.0000 0.0000
Hf: 0.7500 0.7500 0.7500
Mo: 0.2500 0.2500 0.2500

=====

9.
Entry from the Open Quantum Materials Database: a geometry-optimized DyHfN2 structure (PBE).

Cell: 3.3214 3.3214 4.6804 Å, 90.00 90.00 90.00°
Atoms (fractional coordinates):
Dy: 0.0000 0.0000 0.0000
Hf: 0.5000 0.5000 0.5000
N: 0.0000 0.0000 0.5000
N: 0.5000 0.5000 0.0000

=====

10.
Entry from the Open Quantum Materials Database: a geometry-optimized DyHf2N3 structure (PBE).

Cell: 3.2610 3.2610 8.0729 Å, 90.00 90.00 120.00°
Atoms (fractional coordinates):
Dy: 0.0000 0.0000 0.0000
Hf: 0.3333 0.6667 0.3380
Hf: 0.6667 0.3333 0.6620
N: 0.0000 0.0000 0.5000
N: 0.3333 0.6667 0.8117
N: 0.6667 0.3333 0.1883

=====

11.
Entry from the Open Quantum Materials Database: a geometry-optimized Dy2HfN3 structure (PBE).

Cell: 3.3428 3.3428 8.2918 Å, 90.00 90.00 120.00°
Atoms (fractional coordinates):
Dy: 0.3333 0.6667 0.3310
Dy: 0.6667 0.3333 0.6690
Hf: 0.0000 0.0000 0.0000
N: 0.0000 0.0000 0.5000
N: 0.3333 0.6667 0.8528
N: 0.6667 0.3333 0.1472

=====

12.
Entry from the Open Quantum Materials Database: a geometry-optimized DyHfNO structure (PBE).

Cell: 7.7548 6.5465 4.6462 Å, 90.00 90.00 90.00°
Atoms (fractional coordinates):
Dy: 0.1222 0.0540 0.2500
Dy: 0.1222 0.4460 0.7500
Dy: 0.8778 0.5540 0.2500
Dy: 0.8778 0.9460 0.7500
Hf: 0.3728 0.5953 0.2500
Hf: 0.3728 0.9047 0.7500
Hf: 0.6272 0.0953 0.2500
Hf: 0.6272 0.4047 0.7500
N: 0.3991 0.5798 0.7500
N: 0.3991 0.9202 0.2500
N: 0.6009 0.0798 0.7500
N: 0.6009 0.4202 0.2500
O: 0.1567 0.0993 0.7500
O: 0.1567 0.4007 0.2500
O: 0.8433 0.5993 0.7500
O: 0.8433 0.9007 0.2500

Computed properties:
E above lowest polymorph: 0.000 eV/atom

=====

13.
Entry from the Open Quantum Materials Database: a geometry-optimized DyHfNO structure (PBE).

Cell: 4.4338 4.4338 6.0126 Å, 90.00 90.00 90.00°
Atoms (fractional coordinates):
Dy: 0.2500 0.7500 0.0000
Dy: 0.7500 0.2500 0.0000
Hf: 0.2500 0.2500 0.4581
Hf: 0.7500 0.7500 0.5419
N: 0.2500 0.2500 0.1269
N: 0.7500 0.7500 0.8731
O: 0.2500 0.7500 0.5000
O: 0.7500 0.2500 0.5000

Computed properties:
E above lowest polymorph: 0.280 eV/atom

=====

14.
Entry from the Open Quantum Materials Database: a geometry-optimized DyHfNO structure (PBE).

Cell: 3.3500 3.3500 4.5845 Å, 90.00 90.00 90.00°
Atoms (fractional coordinates):
Dy: 0.0000 0.0000 0.0000
Hf: 0.5000 0.5000 0.5000
N: 0.5000 0.5000 0.0000
O: 0.0000 0.0000 0.5000

Computed properties:
E above lowest polymorph: 0.147 eV/atom

=====

15.
Entry from the Open Quantum Materials Database: a geometry-optimized DyHfNO structure (PBE).

Cell: 8.0111 6.2041 4.8043 Å, 90.00 90.00 90.00°
Atoms (fractional coordinates):
Dy: 0.1360 0.0757 0.2500
Dy: 0.1360 0.4243 0.7500
Dy: 0.8640 0.5757 0.2500
Dy: 0.8640 0.9243 0.7500
Hf: 0.3904 0.5500 0.2500
Hf: 0.3904 0.9500 0.7500
Hf: 0.6096 0.0500 0.2500
Hf: 0.6096 0.4500 0.7500
N: 0.1376 0.0479 0.7500
N: 0.1376 0.4521 0.2500
N: 0.8624 0.5479 0.7500
N: 0.8624 0.9521 0.2500
O: 0.3696 0.6142 0.7500
O: 0.3696 0.8858 0.2500
O: 0.6304 0.1142 0.7500
O: 0.6304 0.3858 0.2500

Computed properties:
E above lowest polymorph: 0.178 eV/atom

=====

16.
Entry from the Open Quantum Materials Database: a geometry-optimized DyHfNO structure (PBE).

Cell: 4.1722 5.9356 4.7454 Å, 90.00 90.00 90.00°
Atoms (fractional coordinates):
Dy: 0.0000 0.1859 0.0000
Dy: 0.0000 0.8141 0.5000
Hf: 0.5000 0.2776 0.5028
Hf: 0.5000 0.7224 0.0028
N: 0.0000 0.2246 0.5003
N: 0.0000 0.7754 0.0003
O: 0.5000 0.3669 0.9893
O: 0.5000 0.6331 0.4893

Computed properties:
E above lowest polymorph: 0.088 eV/atom

=====

17.
Entry from the Open Quantum Materials Database: a geometry-optimized DyHfNO structure (PBE).

Cell: 4.1621 4.1621 8.0593 Å, 90.00 90.00 90.00°
Atoms (fractional coordinates):
Dy: 0.2500 0.2500 0.1162
Dy: 0.7500 0.7500 0.8838
Hf: 0.2500 0.7500 0.5000
Hf: 0.7500 0.2500 0.5000
N: 0.2500 0.2500 0.5563
N: 0.7500 0.7500 0.4437
O: 0.2500 0.7500 0.0000
O: 0.7500 0.2500 0.0000

Computed properties:
E above lowest polymorph: 0.149 eV/atom

=====

18.
Entry from the Open Quantum Materials Database: a geometry-optimized DyHfNO structure (PBE).

Cell: 4.6502 3.8524 6.6246 Å, 90.00 90.00 90.00°
Atoms (fractional coordinates):
Dy: 0.2500 0.0000 0.1565
Dy: 0.7500 0.0000 0.8435
Hf: 0.2500 0.5000 0.6696
Hf: 0.7500 0.5000 0.3304
N: 0.2500 0.5000 0.3568
N: 0.7500 0.5000 0.6432
O: 0.2500 0.0000 0.7929
O: 0.7500 0.0000 0.2071

Computed properties:
E above lowest polymorph: 0.051 eV/atom

=====

19.
Entry from the Open Quantum Materials Database: a geometry-optimized DyHfNb structure (PBE).

Cell: 4.7965 4.7965 4.7965 Å, 60.00 60.00 60.00°
Atoms (fractional coordinates):
Dy: 0.0000 0.0000 0.0000
Hf: 0.5000 0.5000 0.5000
Nb: 0.2500 0.2500 0.2500

Computed properties:
E above lowest polymorph: 0.000 eV/atom

=====

20.
Entry from the Open Quantum Materials Database: a geometry-optimized NdDyHf structure (PBE).

Cell: 5.2300 5.2300 5.2300 Å, 60.00 60.00 60.00°
Atoms (fractional coordinates):
Nd: 0.0000 0.0000 0.0000
Dy: 0.5000 0.5000 0.5000
Hf: 0.7500 0.7500 0.7500

=====

21.
Entry from the Open Quantum Materials Database: a geometry-optimized Dy2Hf2O7 structure (PBE).

Cell: 7.3730 7.3730 7.3730 Å, 60.00 60.00 60.00°
Atoms (fractional coordinates):
Dy: 0.0000 0.0000 0.0000
Dy: 0.0000 0.0000 0.5000
Dy: 0.0000 0.5000 0.0000
Dy: 0.5000 0.0000 0.0000
Hf: 0.0000 0.5000 0.5000
Hf: 0.5000 0.0000 0.5000
Hf: 0.5000 0.5000 0.0000
Hf: 0.5000 0.5000 0.5000
O: 0.1250 0.1250 0.1250
O: 0.1610 0.1610 0.5890
O: 0.1610 0.5890 0.1610
O: 0.1610 0.5890 0.5890
O: 0.4110 0.4110 0.8390
O: 0.4110 0.8390 0.4110
O: 0.4110 0.8390 0.8390
O: 0.5890 0.1610 0.1610
O: 0.5890 0.1610 0.5890
O: 0.5890 0.5890 0.1610
O: 0.8390 0.4110 0.4110
O: 0.8390 0.4110 0.8390
O: 0.8390 0.8390 0.4110
O: 0.8750 0.8750 0.8750

=====

22.
Entry from the Open Quantum Materials Database: a geometry-optimized DyHfPO structure (PBE).

Cell: 4.0836 4.0836 7.9695 Å, 90.00 90.00 90.00°
Atoms (fractional coordinates):
Dy: 0.2500 0.7500 0.0000
Dy: 0.7500 0.2500 0.0000
Hf: 0.2500 0.2500 0.3900
Hf: 0.7500 0.7500 0.6100
P: 0.2500 0.2500 0.7645
P: 0.7500 0.7500 0.2355
O: 0.2500 0.7500 0.5000
O: 0.7500 0.2500 0.5000

Computed properties:
E above lowest polymorph: 0.510 eV/atom

=====

23.
Entry from the Open Quantum Materials Database: a geometry-optimized DyHfPO structure (PBE).

Cell: 3.9130 7.2693 5.6748 Å, 90.00 90.00 90.00°
Atoms (fractional coordinates):
Dy: 0.0000 0.2116 0.0000
Dy: 0.0000 0.7884 0.5000
Hf: 0.5000 0.3894 0.5396
Hf: 0.5000 0.6106 0.0396
P: 0.0000 0.1659 0.4979
P: 0.0000 0.8341 0.9979
O: 0.5000 0.3430 0.9093
O: 0.5000 0.6570 0.4093

Computed properties:
E above lowest polymorph: 0.198 eV/atom

=====

24.
Entry from the Open Quantum Materials Database: a geometry-optimized DyHfPO structure (PBE).

Cell: 4.0337 4.0337 8.1225 Å, 90.00 90.00 90.00°
Atoms (fractional coordinates):
Dy: 0.2500 0.7500 0.0000
Dy: 0.7500 0.2500 0.0000
Hf: 0.2500 0.2500 0.3840
Hf: 0.7500 0.7500 0.6160
P: 0.2500 0.2500 0.7658
P: 0.7500 0.7500 0.2342
O: 0.2500 0.7500 0.5000
O: 0.7500 0.2500 0.5000

Computed properties:
E above lowest polymorph: 0.511 eV/atom

=====

25.
Entry from the Open Quantum Materials Database: a geometry-optimized DyHfPO structure (PBE).

Cell: 4.0388 7.2313 5.0655 Å, 90.00 90.00 90.00°
Atoms (fractional coordinates):
Dy: 0.0000 0.1432 0.0000
Dy: 0.0000 0.8568 0.5000
Hf: 0.5000 0.2599 0.4994
Hf: 0.5000 0.7401 0.9994
P: 0.5000 0.3844 0.9991
P: 0.5000 0.6156 0.4991
O: 0.0000 0.1772 0.4981
O: 0.0000 0.8228 0.9981

Computed properties:
E above lowest polymorph: 0.165 eV/atom

=====

DFT total energy
In order: -0.4993; -0.5764; -0.3441; -0.4059; -0.4119; -0.4089; -0.3166; -0.5174; -0.6974; -0.7367; -0.6702; -0.6689; -0.6484; -0.6581; -0.6558; -0.6625; -0.6580; -0.6652; -0.5453; -0.4109; -0.6886; -0.5671; -0.5901; -0.5671; -0.5925
Unit: Ry/atom